{
  "formula": "Mn2CdTcBr",
  "functional": "SCAN",
  "state": "PBEsol geometry",
  "energy_ev_per_atom": -23.275,
  "magnetic_moment_mub_per_atom": 1.01,
  "space_group": "No. 123",
  "volume_a3_per_cell": 87.6,
  "cell": [[4.3736, 0.0000, 0.0000], [0.0000, 4.3736, 0.0000], [0.0000, 0.0000, 4.5812]],
  "species": ["Mn", "Mn", "Cd", "Tc", "Br"],
  "frac_coords": [[0.0000, 0.5000, 0.0000], [0.5000, 0.0000, 0.0000], [0.0000, 0.0000, 0.5000], [0.5000, 0.5000, 0.5000], [0.5000, 0.5000, 0.0000]]
}

=====

{
  "formula": "Mn2ZnCdBr",
  "functional": "SCAN",
  "state": "PBEsol geometry",
  "energy_ev_per_atom": -19.228,
  "magnetic_moment_mub_per_atom": 1.47,
  "space_group": "No. 123",
  "volume_a3_per_cell": 105.3,
  "cell": [[4.5360, 0.0000, 0.0000], [0.0000, 4.5360, 0.0000], [0.0000, 0.0000, 5.1155]],
  "species": ["Mn", "Mn", "Zn", "Cd", "Br"],
  "frac_coords": [[0.0000, 0.5000, 0.0000], [0.5000, 0.0000, 0.0000], [0.0000, 0.0000, 0.5000], [0.5000, 0.5000, 0.5000], [0.0000, 0.0000, 0.0000]]
}

=====

{
  "formula": "CdMo2Br",
  "functional": "SCAN",
  "state": "PBEsol geometry",
  "energy_ev_per_atom": -29.578,
  "magnetic_moment_mub_per_atom": 0.00,
  "space_group": "No. 99",
  "volume_a3_per_cell": 78.0,
  "cell": [[3.1610, 0.0000, 0.0000], [0.0000, 3.1610, 0.0000], [0.0000, 0.0000, 7.8072]],
  "species": ["Cd", "Mo", "Mo", "Br"],
  "frac_coords": [[0.0000, 0.0000, 0.0000], [0.0000, 0.0000, 0.4113], [0.5000, 0.5000, 0.2445], [0.5000, 0.5000, 0.6488]]
}

=====

{
  "formula": "CdMoBr",
  "functional": "SCAN",
  "state": "PBEsol geometry",
  "energy_ev_per_atom": -27.756,
  "magnetic_moment_mub_per_atom": 0.00,
  "space_group": "No. 107",
  "volume_a3_per_cell": 59.2,
  "cell": [[-1.5401, 1.5401, 6.2374], [1.5401, -1.5401, 6.2374], [1.5401, 1.5401, -6.2374]],
  "species": ["Cd", "Mo", "Br"],
  "frac_coords": [[0.0000, 0.0000, 0.0000], [0.6559, 0.6559, 0.0000], [0.2688, 0.2688, 0.0000]]
}

=====

{
  "formula": "Cd2MoBr",
  "functional": "SCAN",
  "state": "PBEsol geometry",
  "energy_ev_per_atom": -28.432,
  "magnetic_moment_mub_per_atom": 0.00,
  "space_group": "No. 65",
  "volume_a3_per_cell": 79.5,
  "cell": [[1.8823, -2.4401, 0.0000], [1.8823, 2.4401, 0.0000], [0.0000, 0.0000, 8.6565]],
  "species": ["Cd", "Cd", "Mo", "Br"],
  "frac_coords": [[0.0000, 0.0000, 0.2372], [0.0000, 0.0000, 0.7628], [0.5000, 0.5000, 0.0000], [0.5000, 0.5000, 0.5000]]
}

=====

{
  "formula": "CdMoBr2",
  "functional": "SCAN",
  "state": "PBEsol geometry",
  "energy_ev_per_atom": -26.046,
  "magnetic_moment_mub_per_atom": 0.00,
  "space_group": "No. 160",
  "volume_a3_per_cell": 84.9,
  "cell": [[1.6530, 0.9544, 8.9726], [-1.6530, 0.9544, 8.9726], [0.0000, -1.9087, 8.9726]],
  "species": ["Cd", "Mo", "Br", "Br"],
  "frac_coords": [[0.0000, 0.0000, 0.0000], [0.7496, 0.7496, 0.7496], [0.2565, 0.2565, 0.2565], [0.4768, 0.4768, 0.4768]]
}

=====

{
  "formula": "CdMo2Br",
  "functional": "SCAN",
  "state": "PBEsol geometry",
  "energy_ev_per_atom": -28.652,
  "magnetic_moment_mub_per_atom": 0.00,
  "space_group": "No. 225",
  "volume_a3_per_cell": 66.0,
  "cell": [[0.0000, 3.2079, 3.2079], [3.2079, 0.0000, 3.2079], [3.2079, 3.2079, 0.0000]],
  "species": ["Cd", "Mo", "Mo", "Br"],
  "frac_coords": [[0.0000, 0.0000, 0.0000], [0.2500, 0.2500, 0.2500], [0.7500, 0.7500, 0.7500], [0.5000, 0.5000, 0.5000]]
}

=====

{
  "formula": "CdMoBr2",
  "functional": "SCAN",
  "state": "PBEsol geometry",
  "energy_ev_per_atom": -25.434,
  "magnetic_moment_mub_per_atom": 1.05,
  "space_group": "No. 216",
  "volume_a3_per_cell": 90.8,
  "cell": [[0.0000, 3.5674, 3.5674], [3.5674, 0.0000, 3.5674], [3.5674, 3.5674, 0.0000]],
  "species": ["Cd", "Mo", "Br", "Br"],
  "frac_coords": [[0.0000, 0.0000, 0.0000], [0.2500, 0.2500, 0.2500], [0.5000, 0.5000, 0.5000], [0.7500, 0.7500, 0.7500]]
}

=====

{
  "formula": "CdMoBr2",
  "functional": "SCAN",
  "state": "PBEsol geometry",
  "energy_ev_per_atom": -25.533,
  "magnetic_moment_mub_per_atom": 0.76,
  "space_group": "No. 10",
  "volume_a3_per_cell": 81.9,
  "cell": [[4.7731, 0.0000, 0.0000], [0.0000, 3.3041, 0.0000], [-2.3460, 0.0000, 5.1919]],
  "species": ["Cd", "Mo", "Br", "Br"],
  "frac_coords": [[0.0000, 0.0000, 0.0000], [0.0000, 0.5000, 0.5000], [0.5000, 0.0000, 0.5000], [0.5000, 0.5000, 0.0000]]
}

=====

{
  "formula": "CdMo2Br",
  "functional": "SCAN",
  "state": "PBEsol geometry",
  "energy_ev_per_atom": -28.812,
  "magnetic_moment_mub_per_atom": 0.00,
  "space_group": "No. 216",
  "volume_a3_per_cell": 69.5,
  "cell": [[0.0000, 3.2634, 3.2634], [3.2634, 0.0000, 3.2634], [3.2634, 3.2634, 0.0000]],
  "species": ["Cd", "Mo", "Mo", "Br"],
  "frac_coords": [[0.0000, 0.0000, 0.0000], [0.2500, 0.2500, 0.2500], [0.5000, 0.5000, 0.5000], [0.7500, 0.7500, 0.7500]]
}

=====

{
  "formula": "CdMoBr",
  "functional": "SCAN",
  "state": "PBEsol geometry",
  "energy_ev_per_atom": -27.087,
  "magnetic_moment_mub_per_atom": 1.63,
  "space_group": "No. 216",
  "volume_a3_per_cell": 80.8,
  "cell": [[0.0000, 3.4309, 3.4309], [3.4309, 0.0000, 3.4309], [3.4309, 3.4309, 0.0000]],
  "species": ["Cd", "Mo", "Br"],
  "frac_coords": [[0.0000, 0.0000, 0.0000], [0.2500, 0.2500, 0.2500], [0.7500, 0.7500, 0.7500]]
}

=====

{
  "formula": "CdMoBr2",
  "functional": "SCAN",
  "state": "PBEsol geometry",
  "energy_ev_per_atom": -25.860,
  "magnetic_moment_mub_per_atom": 0.39,
  "space_group": "No. 65",
  "volume_a3_per_cell": 92.0,
  "cell": [[1.5500, -2.9123, 0.0000], [1.5500, 2.9123, 0.0000], [0.0000, 0.0000, 10.1948]],
  "species": ["Cd", "Mo", "Br", "Br"],
  "frac_coords": [[0.0000, 0.0000, 0.0000], [0.0000, 0.0000, 0.5000], [0.5000, 0.5000, 0.3013], [0.5000, 0.5000, 0.6987]]
}